Record 1
A plane-wave DFT calculation with GGA-PBE was carried out for a relaxed AlGaSb crystal.

Lattice parameters (Å, degrees): 4.140 4.140 9.449 90.00 90.00 120.00
Sites, in units of the cell vectors:
Al (0.333, 0.667, 0.000)
Al (0.667, 0.333, 0.500)
Ga (0.333, 0.667, 0.663)
Ga (0.667, 0.333, 0.163)
Sb (0.000, 0.000, 0.345)
Sb (0.000, 0.000, 0.845)

## Properties
The value obtained for the uncorrected energy is -3.568 eV/atom. As for the uncorrected formation energy: 62 meV per atom. For the polymorph energy (0 for the lowest one), the calculation gives 54 meV per atom.

Record 2
A plane-wave DFT calculation with GGA-PBE was carried out for a relaxed YIn3Ru crystal.

Lattice parameters (Å, degrees): 5.085 5.085 5.085 90.00 90.00 90.00
Sites, in units of the cell vectors:
Y (0.000, 0.000, 0.000)
In (0.000, 0.500, 0.500)
In (0.500, 0.000, 0.500)
In (0.500, 0.500, 0.000)
Ru (0.500, 0.500, 0.500)

## Properties
The value obtained for the uncorrected energy is -4.761 eV/atom. For the polymorph energy (0 for the lowest one), the calculation gives 0 meV per atom. Its calculated formation energy is 0.03 eV per atom.

Record 3
A plane-wave DFT calculation with GGA-PBE was carried out for a relaxed KCaSnP2 crystal.

Lattice parameters (Å, degrees): 5.309 5.309 5.400 90.00 90.00 90.00
Sites, in units of the cell vectors:
K (0.000, 0.000, 0.000)
Ca (0.000, 0.000, 0.500)
Sn (0.500, 0.500, 0.000)
P (0.000, 0.500, 0.500)
P (0.500, 0.000, 0.500)

## Properties
The value obtained for the uncorrected energy is -3.090 eV/atom. Its calculated formation energy is 0.49 eV per atom.

Record 4
A plane-wave DFT calculation with GGA-PBE was carried out for a relaxed Hf3TiCd crystal.

Lattice parameters (Å, degrees): 7.637 7.637 9.704 110.32 110.32 23.46
Sites, in units of the cell vectors:
Hf (0.127, 0.127, 0.234)
Hf (0.220, 0.220, 0.840)
Hf (0.337, 0.337, 0.466)
Hf (0.663, 0.663, 0.534)
Hf (0.780, 0.780, 0.160)
Hf (0.873, 0.873, 0.766)
Ti (0.021, 0.021, 0.641)
Ti (0.979, 0.979, 0.359)
Cd (0.429, 0.429, 0.069)
Cd (0.571, 0.571, 0.931)

## Properties
The value obtained for the uncorrected energy is -7.706 eV/atom. For the polymorph energy (0 for the lowest one), the calculation gives 0 meV per atom. Its calculated formation energy is 0.03 eV per atom.

Record 5
A plane-wave DFT calculation with GGA-PBE was carried out for a relaxed Cd2Ag5Pd12 crystal.

Lattice parameters (Å, degrees): 7.482 7.482 6.658 90.78 90.78 60.50
Sites, in units of the cell vectors:
Cd (0.196, 0.804, 0.000)
Cd (0.804, 0.196, 0.000)
Ag (0.198, 0.198, 0.998)
Ag (0.264, 0.264, 0.414)
Ag (0.500, 0.500, 0.500)
Ag (0.736, 0.736, 0.586)
Ag (0.802, 0.802, 0.002)
Pd (0.056, 0.056, 0.331)
Pd (0.072, 0.681, 0.342)
Pd (0.157, 0.526, 0.747)
Pd (0.319, 0.928, 0.658)
Pd (0.404, 0.404, 0.103)
Pd (0.474, 0.843, 0.253)
Pd (0.526, 0.157, 0.747)
Pd (0.596, 0.596, 0.897)
Pd (0.681, 0.072, 0.342)
Pd (0.843, 0.474, 0.253)
Pd (0.928, 0.319, 0.658)
Pd (0.944, 0.944, 0.669)

## Properties
The value obtained for the uncorrected energy is -4.126 eV/atom. For the polymorph energy (0 for the lowest one), the calculation gives 45 meV per atom. Its calculated formation energy is 0.00 eV per atom.

Record 6
A plane-wave DFT calculation with GGA-PBE was carried out for a relaxed FeRePt crystal.

Lattice parameters (Å, degrees): 4.053 4.053 4.053 60.00 60.00 60.00
Sites, in units of the cell vectors:
Fe (0.000, 0.000, 0.000)
Re (0.250, 0.250, 0.250)
Pt (0.750, 0.750, 0.750)

## Properties
The value obtained for the uncorrected energy is -8.591 eV/atom. For the polymorph energy (0 for the lowest one), the calculation gives 426 meV per atom. Its calculated formation energy is 0.39 eV per atom.

Record 7
A plane-wave DFT calculation with GGA-PBE was carried out for a relaxed KSb2RhI crystal.

Lattice parameters (Å, degrees): 4.972 4.972 8.869 90.00 90.00 90.00
Sites, in units of the cell vectors:
K (0.000, 0.000, 0.000)
Sb (0.000, 0.500, 0.500)
Sb (0.500, 0.000, 0.500)
Rh (0.500, 0.500, 0.500)
I (0.500, 0.500, 0.000)

## Properties
The value obtained for the uncorrected energy is -3.848 eV/atom. As for the uncorrected formation energy: -199 meV per atom. For the polymorph energy (0 for the lowest one), the calculation gives 0 meV per atom.

Record 8
A plane-wave DFT calculation with GGA-PBE was carried out for a relaxed PrDyThZr crystal.

Lattice parameters (Å, degrees): 5.528 5.528 5.528 60.00 60.00 60.00
Sites, in units of the cell vectors:
Pr (0.000, 0.000, 0.000)
Dy (0.250, 0.250, 0.250)
Th (0.500, 0.500, 0.500)
Zr (0.750, 0.750, 0.750)

## Properties
The value obtained for the uncorrected energy is -6.162 eV/atom. Its calculated formation energy is 0.18 eV per atom.

Record 9
A plane-wave DFT calculation with GGA-PBE was carried out for a relaxed Na2HfBiOs crystal.

Lattice parameters (Å, degrees): 6.104 6.104 5.448 90.00 90.00 90.00
Sites, in units of the cell vectors:
Na (0.000, 0.500, 0.000)
Na (0.500, 0.000, 0.000)
Hf (0.000, 0.000, 0.000)
Bi (0.000, 0.000, 0.500)
Os (0.500, 0.500, 0.500)

## Properties
The value obtained for the uncorrected energy is -3.513 eV/atom. Its calculated formation energy is 2.03 eV per atom.

Record 10
A plane-wave DFT calculation with GGA-PBE was carried out for a relaxed FeNiSn crystal.

Lattice parameters (Å, degrees): 10.915 3.152 3.152 60.57 90.00 90.00
Sites, in units of the cell vectors:
Fe (0.000, 0.000, 0.000)
Fe (0.500, 0.337, 0.337)
Ni (0.354, 0.000, 0.000)
Ni (0.646, 0.000, 0.000)
Sn (0.179, 0.335, 0.335)
Sn (0.821, 0.335, 0.335)

## Properties
The value obtained for the uncorrected energy is -5.794 eV/atom. Its calculated formation energy is 0.29 eV per atom.

Record 11
A plane-wave DFT calculation with GGA-PBE was carried out for a relaxed CsRb5Au crystal.

Lattice parameters (Å, degrees): 9.706 9.706 14.886 112.66 112.66 62.25
Sites, in units of the cell vectors:
Cs (0.000, 0.000, 0.250)
Cs (0.000, 0.000, 0.750)
Rb (0.094, 0.583, 0.919)
Rb (0.095, 0.579, 0.418)
Rb (0.417, 0.906, 0.581)
Rb (0.421, 0.905, 0.082)
Rb (0.499, 0.501, 0.750)
Rb (0.501, 0.499, 0.250)
Rb (0.579, 0.095, 0.918)
Rb (0.583, 0.094, 0.419)
Rb (0.905, 0.421, 0.582)
Rb (0.906, 0.417, 0.081)
Au (0.500, 0.500, 0.000)
Au (0.500, 0.500, 0.500)

## Properties
The value obtained for the uncorrected energy is -1.345 eV/atom. Its calculated formation energy is -0.06 eV per atom.

Record 12
A plane-wave DFT calculation with GGA-PBE was carried out for a relaxed Sm3Te2Ir crystal.

Lattice parameters (Å, degrees): 7.742 7.742 7.742 148.51 132.58 58.04
Sites, in units of the cell vectors:
Sm (0.000, 0.000, 0.000)
Sm (0.363, 0.363, 0.000)
Sm (0.637, 0.637, 0.000)
Te (0.178, 0.678, 0.500)
Te (0.822, 0.322, 0.500)
Ir (0.500, 0.000, 0.500)

## Properties
The value obtained for the uncorrected energy is -6.021 eV/atom. As for the uncorrected formation energy: -1138 meV per atom. For the polymorph energy (0 for the lowest one), the calculation gives 41 meV per atom.

Record 13
A plane-wave DFT calculation with GGA-PBE was carried out for a relaxed LaCeSm2 crystal.

Lattice parameters (Å, degrees): 5.128 5.128 5.102 90.00 90.00 90.00
Sites, in units of the cell vectors:
La (0.000, 0.000, 0.000)
Ce (0.500, 0.500, 0.000)
Sm (0.000, 0.500, 0.500)
Sm (0.500, 0.000, 0.500)

## Properties
The value obtained for the uncorrected energy is -4.993 eV/atom. For the polymorph energy (0 for the lowest one), the calculation gives 20 meV per atom. Its calculated formation energy is 0.08 eV per atom.

Record 14
A plane-wave DFT calculation with GGA-PBE was carried out for a relaxed Tl2PO4 crystal.

Lattice parameters (Å, degrees): 5.046 6.177 18.189 90.00 105.95 90.00
Sites, in units of the cell vectors:
Tl (0.000, 0.150, 0.000)
Tl (0.000, 0.850, 0.500)
Tl (0.400, 0.230, 0.244)
Tl (0.400, 0.770, 0.744)
Tl (0.545, 0.347, 0.500)
Tl (0.545, 0.653, 0.000)
Tl (0.911, 0.233, 0.756)
Tl (0.911, 0.767, 0.256)
P (0.008, 0.345, 0.382)
P (0.008, 0.655, 0.882)
P (0.244, 0.347, 0.618)
P (0.244, 0.653, 0.118)
O (0.181, 0.451, 0.918)
O (0.181, 0.549, 0.418)
O (0.188, 0.143, 0.416)
O (0.188, 0.857, 0.916)
O (0.346, 0.449, 0.082)
O (0.346, 0.551, 0.582)
O (0.350, 0.354, 0.706)
O (0.350, 0.646, 0.206)
O (0.355, 0.145, 0.584)
O (0.355, 0.855, 0.084)
O (0.720, 0.339, 0.400)
O (0.720, 0.661, 0.900)
O (0.920, 0.341, 0.600)
O (0.920, 0.659, 0.100)
O (0.939, 0.351, 0.293)
O (0.939, 0.649, 0.793)

## Properties
The value obtained for the uncorrected energy is -5.826 eV/atom. As for the uncorrected formation energy: -1544 meV per atom. For the polymorph energy (0 for the lowest one), the calculation gives 0 meV per atom.

Record 15
A plane-wave DFT calculation with GGA-PBE was carried out for a relaxed Tb12Dy6Cd crystal.

Lattice parameters (Å, degrees): 8.460 8.460 8.460 88.82 88.82 88.82
Sites, in units of the cell vectors:
Tb (0.038, 0.934, 0.282)
Tb (0.066, 0.718, 0.962)
Tb (0.137, 0.485, 0.320)
Tb (0.282, 0.038, 0.934)
Tb (0.320, 0.137, 0.485)
Tb (0.485, 0.320, 0.137)
Tb (0.515, 0.680, 0.863)
Tb (0.680, 0.863, 0.515)
Tb (0.718, 0.962, 0.066)
Tb (0.863, 0.515, 0.680)
Tb (0.934, 0.282, 0.038)
Tb (0.962, 0.066, 0.718)
Dy (0.210, 0.760, 0.597)
Dy (0.240, 0.403, 0.790)
Dy (0.403, 0.790, 0.240)
Dy (0.597, 0.210, 0.760)
Dy (0.760, 0.597, 0.210)
Dy (0.790, 0.240, 0.403)
Cd (0.500, 0.500, 0.500)

## Properties
The value obtained for the uncorrected energy is -4.321 eV/atom. For the polymorph energy (0 for the lowest one), the calculation gives 0 meV per atom. Its calculated formation energy is 0.10 eV per atom.

Record 16
A plane-wave DFT calculation with GGA-PBE was carried out for a relaxed MgSeSN2 crystal.

Lattice parameters (Å, degrees): 4.034 4.034 5.584 90.00 90.00 90.00
Sites, in units of the cell vectors:
Mg (0.000, 0.000, 0.000)
Se (0.500, 0.500, 0.500)
S (0.000, 0.000, 0.500)
N (0.000, 0.500, 0.000)
N (0.500, 0.000, 0.000)

## Properties
The value obtained for the uncorrected energy is -3.730 eV/atom. As for the uncorrected formation energy: 1441 meV per atom. For the polymorph energy (0 for the lowest one), the calculation gives 481 meV per atom.

Record 17
A plane-wave DFT calculation with GGA-PBE was carried out for a relaxed La2HoBi crystal.

Lattice parameters (Å, degrees): 10.117 10.117 10.117 23.96 23.96 23.96
Sites, in units of the cell vectors:
La (0.000, 0.000, 0.000)
La (0.189, 0.189, 0.189)
Ho (0.761, 0.761, 0.761)
Bi (0.594, 0.594, 0.594)

## Properties
The value obtained for the uncorrected energy is -4.798 eV/atom. For the polymorph energy (0 for the lowest one), the calculation gives 223 meV per atom. Its calculated formation energy is -0.22 eV per atom.

Record 18
A plane-wave DFT calculation with GGA-PBE was carried out for a relaxed Nd2YEr5Th crystal.

Lattice parameters (Å, degrees): 9.832 9.832 9.832 127.54 127.54 77.37
Sites, in units of the cell vectors:
Nd (0.116, 0.616, 0.732)
Nd (0.384, 0.116, 0.500)
Nd (0.616, 0.884, 0.500)
Nd (0.884, 0.384, 0.268)
Y (0.250, 0.750, 0.500)
Y (0.750, 0.250, 0.500)
Er (0.000, 0.000, 0.000)
Er (0.074, 0.147, 0.500)
Er (0.147, 0.647, 0.072)
Er (0.353, 0.426, 0.500)
Er (0.426, 0.926, 0.072)
Er (0.500, 0.500, 0.000)
Er (0.574, 0.074, 0.928)
Er (0.647, 0.574, 0.500)
Er (0.853, 0.353, 0.928)
Er (0.926, 0.853, 0.500)
Th (0.250, 0.250, 0.000)
Th (0.750, 0.750, 0.000)

## Properties
The value obtained for the uncorrected energy is -4.844 eV/atom. Its calculated formation energy is 0.29 eV per atom.

Record 19
A plane-wave DFT calculation with GGA-PBE was carried out for a relaxed SrRe2P crystal.

Lattice parameters (Å, degrees): 5.866 5.866 2.644 90.00 90.00 125.11
Sites, in units of the cell vectors:
Sr (0.000, 0.000, 0.000)
Re (0.000, 0.500, 0.500)
Re (0.500, 0.000, 0.500)
P (0.500, 0.500, 0.000)

## Properties
The value obtained for the uncorrected energy is -6.834 eV/atom. Its calculated formation energy is 1.16 eV per atom.

Record 20
A plane-wave DFT calculation with GGA-PBE was carried out for a relaxed Ca2CdAsN crystal.

Lattice parameters (Å, degrees): 4.837 4.837 4.409 90.00 90.00 90.00
Sites, in units of the cell vectors:
Ca (0.000, 0.500, 0.000)
Ca (0.500, 0.000, 0.000)
Cd (0.000, 0.000, 0.500)
As (0.500, 0.500, 0.500)
N (0.000, 0.000, 0.000)

## Properties
The value obtained for the uncorrected energy is -4.291 eV/atom. As for the uncorrected formation energy: -712 meV per atom.